Record 1
# KCuSiSe2S (GGA-PBE, relaxed)
data_KCuSiSe2S
_chemical_formula_sum 'K4 Cu4 Si4 Se8 S4'
_cell_length_a 3.610
_cell_length_b 14.469
_cell_length_c 10.042
_cell_angle_alpha 90.00
_cell_angle_beta 90.00
_cell_angle_gamma 90.00
_space_group_name_H-M_alt 'C m c m'
_space_group_IT_number 63
_space_group_name_Hall '-C 2c 2'
loop_
_atom_site_label
_atom_site_fract_x
_atom_site_fract_y
_atom_site_fract_z
K1 0.000 0.236 0.250
Cu1 0.000 0.047 0.750
Si1 0.000 0.500 0.000
Se1 0.000 0.119 0.535
S1 0.000 0.451 0.750
# Crystal system   orthorhombic

=====

Record 2
# CdH28C32S2N6O6 (GGA-PBE, relaxed)
data_CdH28C32S2N6O6
_chemical_formula_sum 'Cd1 H28 C32 S2 N6 O6'
_cell_length_a 8.583
_cell_length_b 8.865
_cell_length_c 10.782
_cell_angle_alpha 66.94
_cell_angle_beta 82.30
_cell_angle_gamma 75.44
_space_group_name_H-M_alt 'P -1'
_space_group_IT_number 2
loop_
_space_group_symop_operation_xyz
'x,y,z'
'-x,-y,-z'
loop_
_atom_site_label
_atom_site_fract_x
_atom_site_fract_y
_atom_site_fract_z
Cd1 0.000 0.000 0.000
H1 0.047 0.741 0.710
H2 0.052 0.071 0.685
H3 0.120 0.616 0.343
H4 0.153 0.329 0.521
H5 0.208 0.644 0.043
H6 0.245 0.191 0.243
H7 0.247 0.973 0.520
H8 0.286 0.220 0.898
H9 0.300 0.518 0.759
H10 0.378 0.824 0.989
H11 0.398 0.381 0.023
H12 0.399 0.203 0.653
H13 0.409 0.475 0.139
H14 0.494 0.226 0.395
C1 0.044 0.611 0.773
C2 0.099 0.603 0.090
C3 0.105 0.433 0.172
C4 0.171 0.992 0.714
C5 0.178 0.320 0.879
C6 0.184 0.487 0.800
C7 0.228 0.561 0.402
C8 0.247 0.399 0.502
C9 0.278 0.935 0.624
C10 0.347 0.650 0.375
C11 0.349 0.848 0.886
C12 0.385 0.328 0.575
C13 0.396 0.358 0.132
C14 0.422 0.824 0.672
C15 0.458 0.775 0.806
C16 0.491 0.583 0.449
S1 0.313 0.857 0.248
N1 0.037 0.278 0.932
N2 0.207 0.950 0.843
N3 0.247 0.317 0.200
O1 0.168 0.869 0.182
O2 0.282 0.970 0.323
O3 0.455 0.869 0.157
# Crystal system   triclinic

=====

Record 3
# BaZnSO (GGA-PBE, relaxed)
data_BaZnSO
_chemical_formula_sum 'Ba8 Zn8 S8 O8'
_cell_length_a 6.153
_cell_length_b 7.927
_cell_length_c 12.988
_cell_angle_alpha 90.00
_cell_angle_beta 90.00
_cell_angle_gamma 90.00
_space_group_name_H-M_alt 'P b c a'
_space_group_IT_number 61
loop_
_space_group_symop_operation_xyz
'x,y,z'
'-x,-y,-z'
'-x+1/2,-y,z+1/2'
'x+1/2,y,-z+1/2'
'x+1/2,-y+1/2,-z'
'-x+1/2,y+1/2,z'
'-x,y+1/2,-z+1/2'
'x,-y+1/2,z+1/2'
loop_
_atom_site_label
_atom_site_fract_x
_atom_site_fract_y
_atom_site_fract_z
Ba1 0.250 0.124 0.143
Zn1 0.249 0.126 0.849
S1 0.249 0.125 0.444
O1 0.002 0.626 0.749
# Crystal system   orthorhombic

=====

Record 4
# LiTaCdPt (GGA-PBE, relaxed)
data_LiTaCdPt
_chemical_formula_sum 'Li4 Ta4 Cd4 Pt4'
_cell_length_a 6.410
_cell_length_b 6.410
_cell_length_c 6.410
_cell_angle_alpha 90.00
_cell_angle_beta 90.00
_cell_angle_gamma 90.00
_space_group_name_H-M_alt 'F -4 3 m'
_space_group_IT_number 216
_space_group_name_Hall 'F -4 2 3'
loop_
_atom_site_label
_atom_site_fract_x
_atom_site_fract_y
_atom_site_fract_z
Li1 0.000 0.000 0.000
Ta1 0.000 0.000 0.500
Cd1 0.250 0.250 0.750
Pt1 0.250 0.250 0.250
# Crystal system   cubic

=====

Record 5
# NdCuSnTeS2 (GGA-PBE, relaxed)
data_NdCuSnTeS2
_chemical_formula_sum 'Nd4 Cu4 Sn4 Te4 S8'
_cell_length_a 4.056
_cell_length_b 13.711
_cell_length_c 11.274
_cell_angle_alpha 90.00
_cell_angle_beta 90.00
_cell_angle_gamma 90.00
_space_group_name_H-M_alt 'C m c m'
_space_group_IT_number 63
_space_group_name_Hall '-C 2c 2'
loop_
_atom_site_label
_atom_site_fract_x
_atom_site_fract_y
_atom_site_fract_z
Nd1 0.000 0.000 0.000
Cu1 0.000 0.479 0.250
Sn1 0.000 0.207 0.750
Te1 0.000 0.106 0.250
S1 0.000 0.374 0.086
# Crystal system   orthorhombic

=====

Record 6
# NbTl2AgSe4 (GGA-PBE, relaxed)
data_NbTl2AgSe4
_chemical_formula_sum 'Nb8 Tl16 Ag8 Se32'
_cell_length_a 6.106
_cell_length_b 13.890
_cell_length_c 23.174
_cell_angle_alpha 90.00
_cell_angle_beta 90.00
_cell_angle_gamma 90.00
_space_group_name_H-M_alt 'F d d d'
_space_group_IT_number 70
loop_
_space_group_symop_operation_xyz
'x,y,z'
'-x,-y,-z'
'-x+1/4,-y+1/4,z'
'x+1/4,y+1/4,-z'
'x,-y+1/4,-z+1/4'
'-x,y+1/4,z+1/4'
'-x+1/4,y,-z+1/4'
'x+1/4,-y,z+1/4'
'x,y+1/2,z+1/2'
'-x,-y+1/2,-z+1/2'
'-x+1/4,-y+3/4,z+1/2'
'x+1/4,y+3/4,-z+1/2'
'x,-y+3/4,-z+3/4'
'-x,y+3/4,z+3/4'
'-x+1/4,y+1/2,-z+3/4'
'x+1/4,-y+1/2,z+3/4'
'x+1/2,y,z+1/2'
'-x+1/2,-y,-z+1/2'
'-x+3/4,-y+1/4,z+1/2'
'x+3/4,y+1/4,-z+1/2'
'x+1/2,-y+1/4,-z+3/4'
'-x+1/2,y+1/4,z+3/4'
'-x+3/4,y,-z+3/4'
'x+3/4,-y,z+3/4'
'x+1/2,y+1/2,z'
'-x+1/2,-y+1/2,-z'
'-x+3/4,-y+3/4,z'
'x+3/4,y+3/4,-z'
'x+1/2,-y+3/4,-z+1/4'
'-x+1/2,y+3/4,z+1/4'
'-x+3/4,y+1/2,-z+1/4'
'x+3/4,-y+1/2,z+1/4'
loop_
_atom_site_label
_atom_site_fract_x
_atom_site_fract_y
_atom_site_fract_z
Nb1 0.125 0.125 0.125
Tl1 0.125 0.125 0.303
Ag1 0.125 0.125 0.625
Se1 0.091 0.270 0.437
# Crystal system   orthorhombic

=====

Record 7
# YCu2Bi (GGA-PBE, relaxed)
data_YCu2Bi
_chemical_formula_sum 'Y4 Cu8 Bi4'
_cell_length_a 6.907
_cell_length_b 6.907
_cell_length_c 6.907
_cell_angle_alpha 90.00
_cell_angle_beta 90.00
_cell_angle_gamma 90.00
_space_group_name_H-M_alt 'F -4 3 m'
_space_group_IT_number 216
_space_group_name_Hall 'F -4 2 3'
loop_
_atom_site_label
_atom_site_fract_x
_atom_site_fract_y
_atom_site_fract_z
Y1 0.000 0.000 0.000
Cu1 0.000 0.000 0.500
Cu2 0.250 0.250 0.250
Bi1 0.250 0.250 0.750
# Crystal system   cubic

=====

Record 8
# NaFeAs (GGA-PBE, relaxed)
data_NaFeAs
_chemical_formula_sum 'Na4 Fe4 As4'
_cell_length_a 6.212
_cell_length_b 6.212
_cell_length_c 6.212
_cell_angle_alpha 90.00
_cell_angle_beta 90.00
_cell_angle_gamma 90.00
_space_group_name_H-M_alt 'F -4 3 m'
_space_group_IT_number 216
_space_group_name_Hall 'F -4 2 3'
loop_
_atom_site_label
_atom_site_fract_x
_atom_site_fract_y
_atom_site_fract_z
Na1 0.000 0.000 0.000
Fe1 0.000 0.000 0.500
As1 0.250 0.250 0.750
# Crystal system   cubic

=====

Record 9
# Pr4NdSb5 (GGA-PBE, relaxed)
data_Pr4NdSb5
_chemical_formula_sum 'Pr8 Nd2 Sb10'
_cell_length_a 4.547
_cell_length_b 4.547
_cell_length_c 32.173
_cell_angle_alpha 90.00
_cell_angle_beta 90.00
_cell_angle_gamma 90.00
_space_group_name_H-M_alt 'I 4/m m m'
_space_group_IT_number 139
_space_group_name_Hall '-I 4 2'
loop_
_atom_site_label
_atom_site_fract_x
_atom_site_fract_y
_atom_site_fract_z
Pr1 0.000 0.000 0.100
Pr2 0.000 0.000 0.300
Nd1 0.000 0.000 0.500
Sb1 0.000 0.000 0.000
Sb2 0.000 0.000 0.200
Sb3 0.000 0.000 0.400
# Crystal system   tetragonal

=====

Record 10
# Na6AgHg (GGA-PBE, relaxed)
data_Na6AgHg
_chemical_formula_sum 'Na6 Ag1 Hg1'
_cell_length_a 5.171
_cell_length_b 5.171
_cell_length_c 7.331
_cell_angle_alpha 90.00
_cell_angle_beta 90.00
_cell_angle_gamma 90.00
_space_group_name_H-M_alt 'P 4/m m m'
_space_group_IT_number 123
_space_group_name_Hall '-P 4 2'
loop_
_atom_site_label
_atom_site_fract_x
_atom_site_fract_y
_atom_site_fract_z
Na1 0.000 0.000 0.000
Na2 0.000 0.500 0.247
Na3 0.500 0.500 0.500
Ag1 0.500 0.500 0.000
Hg1 0.000 0.000 0.500
# Crystal system   tetragonal

=====

Record 11
# YTmCl2O2 (GGA-PBE, relaxed)
data_YTmCl2O2
_chemical_formula_sum 'Y1 Tm1 Cl2 O2'
_cell_length_a 3.792
_cell_length_b 3.792
_cell_length_c 7.339
_cell_angle_alpha 90.00
_cell_angle_beta 90.00
_cell_angle_gamma 90.00
_space_group_name_H-M_alt 'P 4 m m'
_space_group_IT_number 99
loop_
_space_group_symop_operation_xyz
'x,y,z'
'-y,x,z'
'-x,-y,z'
'y,-x,z'
'-x,y,z'
'y,x,z'
'x,-y,z'
'-y,-x,z'
loop_
_atom_site_label
_atom_site_fract_x
_atom_site_fract_y
_atom_site_fract_z
Y1 0.000 0.000 0.000
Tm1 0.500 0.500 0.311
Cl1 0.000 0.000 0.511
Cl2 0.500 0.500 0.807
O1 0.000 0.500 0.161
# Crystal system   tetragonal

=====

Record 12
# LaMgAlNi (GGA-PBE, relaxed)
data_LaMgAlNi
_chemical_formula_sum 'La4 Mg4 Al4 Ni4'
_cell_length_a 6.847
_cell_length_b 6.847
_cell_length_c 6.847
_cell_angle_alpha 90.00
_cell_angle_beta 90.00
_cell_angle_gamma 90.00
_space_group_name_H-M_alt 'F -4 3 m'
_space_group_IT_number 216
_space_group_name_Hall 'F -4 2 3'
loop_
_atom_site_label
_atom_site_fract_x
_atom_site_fract_y
_atom_site_fract_z
La1 0.000 0.000 0.000
Mg1 0.250 0.250 0.250
Al1 0.250 0.250 0.750
Ni1 0.000 0.000 0.500
# Crystal system   cubic

=====

| no. | E_tot (eV/atom) |
| --- | --- |
| 1 | -4.0090 |
| 2 | -6.5356 |
| 3 | -4.8444 |
| 4 | -5.3539 |
| 5 | -4.8731 |
| 6 | -4.4871 |
| 7 | -4.5178 |
| 8 | -4.4945 |
| 9 | -5.6417 |
| 10 | -1.4249 |
| 11 | -7.1457 |
| 12 | -4.0179 |